Entry 1:
Computed, not measured: crystalline NdSm4Ho5 at its relaxed geometry at the PBE level of DFT.

Lattice parameters (Å, degrees): 7.929 7.929 7.929 98.98 98.98 133.47
Sites, in units of the cell vectors:
Nd  0.000  0.000  0.000
Sm  0.115  0.814  0.395
Sm  0.419  0.721  0.605
Sm  0.721  0.115  0.302
Sm  0.814  0.419  0.698
Ho  0.043  0.122  0.620
Ho  0.122  0.501  0.079
Ho  0.422  0.043  0.921
Ho  0.501  0.422  0.380
Ho  0.540  0.540  0.000

Results
Space-group type   I4 (79)
Final energy   -43.648 eV for the cell shown
Formation energy from the elements   27.84 kJ/mol of atoms
Fermi-level density of states   14.29 states/eV/f.u.
Theoretical density   7.846 g/cm³


Entry 2:
Computed, not measured: crystalline PrPuNi at its relaxed geometry at the PBE level of DFT.

Lattice parameters (Å, degrees): 3.481 3.481 12.077 90.00 90.00 90.00
Sites, in units of the cell vectors:
Pr  0.000  0.000  0.000
Pr  0.500  0.500  0.500
Pu  0.000  0.000  0.271
Pu  0.500  0.500  0.771
Ni  0.000  0.000  0.647
Ni  0.500  0.500  0.147

Results
Space-group type   I4mm (107)
Final energy   -49.676 eV for the cell shown
Formation energy from the elements   1.76 kJ/mol of atoms
Fermi-level density of states   10.75 states/eV/f.u.
Theoretical density   10.066 g/cm³


Entry 3:
Computed, not measured: crystalline NbGe2CN at its relaxed geometry at the PBE level of DFT.

Lattice parameters (Å, degrees): 5.267 5.267 2.577 90.00 90.00 90.00
Sites, in units of the cell vectors:
Nb  0.000  0.000  0.000
Ge  0.000  0.500  0.500
Ge  0.500  0.000  0.500
C  0.500  0.500  0.500
N  0.500  0.500  0.000

Results
Formation energy (no corrections)   840 meV/atom
Space-group type   P4/mmm (123)
Final energy   -32.652 eV for the cell shown
Fermi-level density of states   2.04 states/eV/f.u.
Theoretical density   6.137 g/cm³


The lowest Fermi-level density of states belongs to which entry?
NbGe2CN